No. 1
# Sc2BiIrO8

Crystalline Sc2BiIrO8 at its relaxed geometry (PBE, Alexandria via LeMat-Bulk).

Cell: 6.764 6.929 6.506 Å, 90.00 90.00 90.00°
Space group Cmmm (No. 65)
Asymmetric unit:
Sc  0.000  0.000  0.246 x4
Bi  0.000  0.500  0.500 x2
Ir  0.000  0.500  0.000 x2
O  0.000  0.310  0.227 x8
O  0.185  0.000  0.500 x4
O  0.212  0.000  0.000 x4

Results
Uncorrected formation energy = -1.9251 eV per atom



No. 2
# SnBiIrO6

Crystalline SnBiIrO6 at its relaxed geometry (PBE, Alexandria via LeMat-Bulk).

Cell: 5.4106 5.4106 9.7614 Å, 90.00 90.00 120.00°
Space group P-31c (No. 163)
Asymmetric unit:
Sn  0.3333  0.6667  0.2500 x2
Bi  0.0000  0.0000  0.0000 x2
Ir  0.3333  0.6667  0.7500 x2
O  0.0161  0.3719  0.6377 x12

Results
Uncorrected formation energy = -1.1277 eV per atom



No. 3
# SrBiIr2O

Crystalline SrBiIr2O at its relaxed geometry (PBE, Alexandria via LeMat-Bulk).

Cell: 4.422 4.422 4.764 Å, 90.00 90.00 90.00°
Space group P4/mmm (No. 123)
Asymmetric unit:
Sr  0.000  0.000  0.000 x1
Bi  0.500  0.500  0.000 x1
Ir  0.000  0.500  0.500 x2
O  0.000  0.000  0.500 x1

Results
Uncorrected formation energy = 0.0402 eV per atom



No. 4
# SrBi2IrO8

Crystalline SrBi2IrO8 at its relaxed geometry (PBE, Alexandria via LeMat-Bulk).

Cell: 5.142 6.979 5.161 Å, 90.00 92.23 90.00°
Space group P2/m (No. 10)
Asymmetric unit:
Sr  0.000  0.000  0.000 x1
Bi  0.500  0.251  0.500 x2
Ir  0.000  0.500  0.000 x1
O  0.214  0.500  0.709 x2
O  0.216  0.299  0.155 x4
O  0.299  0.000  0.648 x2

Results
Uncorrected formation energy = -1.1631 eV per atom



No. 5
# Sr2BiIrO6

Crystalline Sr2BiIrO6 at its relaxed geometry (PBE, Alexandria via LeMat-Bulk).

Cell: 5.851 6.025 10.148 Å, 90.00 124.58 90.00°
Space group P2_1/c (No. 14)
Asymmetric unit:
Sr  0.237  0.050  0.250 x4
Bi  0.500  0.000  0.000 x2
Ir  0.000  0.000  0.500 x2
O  0.127  0.224  0.946 x4
O  0.230  0.686  0.953 x4
O  0.323  0.034  0.729 x4

Results
Uncorrected formation energy = -1.7364 eV per atom



No. 6
# Sr2BiIrO8

Crystalline Sr2BiIrO8 at its relaxed geometry (PBE, Alexandria via LeMat-Bulk).

Cell: 5.340 6.761 5.350 Å, 90.00 91.58 90.00°
Space group P2/m (No. 10)
Asymmetric unit:
Sr  0.000  0.246  0.000 x2
Bi  0.500  0.500  0.500 x1
Ir  0.500  0.000  0.500 x1
O  0.221  0.500  0.222 x2
O  0.255  0.000  0.256 x2
O  0.331  0.219  0.669 x4

Results
Uncorrected formation energy = -1.4005 eV per atom



No. 7
# SrBi2IrO6

Crystalline SrBi2IrO6 at its relaxed geometry (PBE, Alexandria via LeMat-Bulk).

Cell: 5.692 6.384 10.013 Å, 90.00 123.74 90.00°
Space group P2_1/c (No. 14)
Asymmetric unit:
Sr  0.000  0.000  0.000 x2
Bi  0.225  0.051  0.719 x4
Ir  0.500  0.000  0.500 x2
O  0.160  0.096  0.285 x4
O  0.196  0.651  0.015 x4
O  0.419  0.239  0.602 x4

Results
Uncorrected formation energy = -1.3915 eV per atom



No. 8
# TbBi2IrO8

Crystalline TbBi2IrO8 at its relaxed geometry (PBE, Alexandria via LeMat-Bulk).

Cell: 5.100 6.793 5.146 Å, 90.00 90.63 90.00°
Space group P2/m (No. 10)
Asymmetric unit:
Tb  0.000  0.000  0.000 x1
Bi  0.500  0.254  0.500 x2
Ir  0.000  0.500  0.000 x1
O  0.159  0.279  0.203 x4
O  0.291  0.500  0.778 x2
O  0.330  0.000  0.704 x2

Results
Uncorrected formation energy = -1.4122 eV per atom